#one
The following is a GGA-PBE calculation of a relaxed Sm2Mg crystal, from Alexandria.

SG   No. 227

Cell and atoms, written as POSCAR:
```
Sm2Mg
1.0
6.5046 0.0000 0.0000
3.2523 5.6331 0.0000
3.2523 1.8777 5.3110
Mg Sm
2 4
Cartesian
0.0000 0.0000 0.0000
3.2523 1.8777 1.3277
4.8784 4.6943 3.3193
6.5046 1.8777 3.3193
8.1307 4.6943 3.3193
6.5046 3.7554 0.6639
```


#two
The following is a GGA-PBE calculation of a relaxed Sm2Mg crystal, from Alexandria.

SG   No. 123

Cell and atoms, written as POSCAR:
```
Sm2Mg
1.0
3.7631 0.0000 0.0000
0.0000 3.7631 0.0000
0.0000 0.0000 12.8653
Sm Mg
4 2
Cartesian
1.8816 1.8816 0.0000
1.8816 1.8816 3.9415
0.0000 0.0000 6.4327
1.8816 1.8816 8.9239
0.0000 0.0000 10.9042
0.0000 0.0000 1.9612
```


Relative energies, meV per atom: #one 344; #two 0.